No. 1
Compound: HfTcN2O
Source: Alexandria via LeMat-Bulk
Functional: GGA-PBE
Structure: optimized geometry

Lattice parameters (Å, degrees): 3.865 3.865 3.870 90.00 90.00 90.00
Fractional coordinates of all 5 atoms:
Hf: 0.000 0.000 0.000
Tc: 0.500 0.500 0.500
N: 0.000 0.500 0.500
N: 0.500 0.000 0.500
O: 0.500 0.500 0.000

Output
The calculation puts the density of states at the Fermi level at 0.615 states/eV/atom. The value obtained for the volume is 11.56 Å³/atom. The calculation puts the total energy at -8.6613 eV per atom. The crystal system is tetragonal. As for the total magnetic moment: 0.0 μB/cell. The mass density is 9.2 g/cm3.

No. 2
Compound: CoTe2P
Source: Alexandria via LeMat-Bulk
Functional: GGA-PBE
Structure: optimized geometry

Lattice parameters (Å, degrees): 4.854 4.854 4.854 60.00 60.00 60.00
Fractional coordinates of all 4 atoms:
Co: 0.000 0.000 0.000
Te: 0.250 0.250 0.250
Te: 0.500 0.500 0.500
P: 0.750 0.750 0.750

Output
The calculation puts the density of states at the Fermi level at 1.033 states/eV/atom. The value obtained for the volume is 20.22 Å³/atom. The calculation puts the total energy at -3.8749 eV per atom. The crystal system is cubic. As for the total magnetic moment: 1.5 μB/cell. The mass density is 7.1 g/cm3.

No. 3
Compound: Na2VCl
Source: Alexandria via LeMat-Bulk
Functional: GGA-PBE
Structure: optimized geometry

Lattice parameters (Å, degrees): 5.336 5.336 5.336 60.00 60.00 60.00
Fractional coordinates of all 4 atoms:
Na: 0.250 0.250 0.250
Na: 0.750 0.750 0.750
V: 0.000 0.000 0.000
Cl: 0.500 0.500 0.500

Output
The calculation puts the density of states at the Fermi level at 1.510 states/eV/atom. The value obtained for the volume is 26.87 Å³/atom. The crystal system is cubic. As for the total magnetic moment: 4.5 μB/cell. The energy above the lowest structure with this stoichiometry comes out at 0.2477 eV/atom. The mass density is 2.0 g/cm3.

No. 4
Compound: NbTl2S2
Source: Alexandria via LeMat-Bulk
Functional: GGA-PBE
Structure: optimized geometry

Lattice parameters (Å, degrees): 10.109 10.109 10.109 160.74 160.74 27.36
Fractional coordinates of all 5 atoms:
Nb: 0.000 0.000 0.000
Tl: 0.405 0.405 0.000
Tl: 0.595 0.595 0.000
S: 0.250 0.750 0.500
S: 0.750 0.250 0.500

Output
The calculation puts the density of states at the Fermi level at 0.623 states/eV/atom. The value obtained for the volume is 22.46 Å³/atom. The crystal system is tetragonal. As for the total magnetic moment: 0.0 μB/cell. The energy above the lowest structure with this stoichiometry comes out at 0.0000 eV/atom. The mass density is 8.4 g/cm3.